[1]
{
  "formula": "Li2CaAu",
  "functional": "PBE-GGA",
  "state": "relaxed",
  "lattice": [[4.251, 0.000, 0.000], [0.000, 4.261, 0.000], [0.000, 0.000, 4.848]],
  "species": ["Li", "Li", "Ca", "Au"],
  "fractional_positions": [[0.000, 0.000, 0.000], [0.500, 0.500, 0.000], [0.000, 0.500, 0.500], [0.500, 0.000, 0.500]],
  "relative_energy_mev_per_atom": 110.3,
  "dft_energy_ev_per_atom": -2.616,
  "formation_enthalpy_0k_mev_per_atom": -339
}

[2]
{
  "formula": "Li2CaAu3",
  "functional": "PBE-GGA",
  "state": "relaxed",
  "lattice": [[4.517, 0.000, 0.000], [-2.258, 3.912, 0.000], [0.000, 0.000, 13.077]],
  "species": ["Ca", "Ca", "Au", "Au", "Au", "Au", "Au", "Au", "Li", "Li", "Li", "Li"],
  "fractional_positions": [[0.000, 0.000, 0.750], [0.000, 0.000, 0.250], [0.667, 0.333, 0.869], [0.000, 0.000, 0.500], [0.333, 0.667, 0.369], [0.000, 0.000, 0.000], [0.333, 0.667, 0.131], [0.667, 0.333, 0.631], [0.667, 0.333, 0.430], [0.333, 0.667, 0.930], [0.333, 0.667, 0.570], [0.667, 0.333, 0.070]],
  "relative_energy_mev_per_atom": 0.0,
  "dft_energy_ev_per_atom": -3.233,
  "formation_enthalpy_0k_mev_per_atom": -622
}

[3]
{
  "formula": "Li3CaAu",
  "functional": "PBE-GGA",
  "state": "relaxed",
  "lattice": [[-1.388, 3.766, -1.370], [-5.150, -0.079, 5.001], [3.118, 3.397, 6.181]],
  "species": ["Ca", "Ca", "Li", "Li", "Li", "Li", "Li", "Li", "Au", "Au"],
  "fractional_positions": [[0.381, 0.532, 0.224], [0.881, 0.143, 0.582], [0.881, 0.233, 0.043], [0.381, 0.979, 0.932], [0.881, 0.687, 0.505], [0.381, 0.442, 0.763], [0.881, 0.695, 0.874], [0.381, 0.988, 0.301], [0.381, 0.825, 0.655], [0.881, 0.850, 0.151]],
  "relative_energy_mev_per_atom": 0.0,
  "dft_energy_ev_per_atom": -2.533,
  "formation_enthalpy_0k_mev_per_atom": -329
}

[4]
{
  "formula": "LiCa4Au",
  "functional": "PBE-GGA",
  "state": "relaxed",
  "lattice": [[5.247, 0.000, -0.001], [0.000, 5.248, -0.002], [0.004, 0.006, 7.588]],
  "species": ["Ca", "Ca", "Ca", "Ca", "Au", "Li"],
  "fractional_positions": [[0.501, 0.997, 0.266], [0.501, 0.998, 0.731], [0.001, 0.497, 0.266], [0.001, 0.497, 0.731], [0.001, 0.997, 0.498], [0.501, 0.498, 0.998]],
  "relative_energy_mev_per_atom": 107.3,
  "dft_energy_ev_per_atom": -2.363,
  "formation_enthalpy_0k_mev_per_atom": -163
}

[5]
{
  "formula": "Li2CaAu",
  "functional": "PBE-GGA",
  "state": "relaxed",
  "lattice": [[-2.390, 3.825, 0.034], [-3.458, 0.463, 2.858], [1.164, 3.375, 4.457]],
  "species": ["Ca", "Au", "Li", "Li"],
  "fractional_positions": [[0.756, 0.756, 0.733], [0.548, 0.548, 0.355], [0.237, 0.237, 0.288], [0.958, 0.958, 0.124]],
  "relative_energy_mev_per_atom": 38.7,
  "dft_energy_ev_per_atom": -2.687,
  "formation_enthalpy_0k_mev_per_atom": -410
}

[6]
{
  "formula": "Li2CaAu3",
  "functional": "PBE-GGA",
  "state": "relaxed",
  "lattice": [[-1.360, 2.832, 1.084], [-2.203, -0.107, -2.486], [-6.238, -5.199, 5.750]],
  "species": ["Au", "Au", "Au", "Li", "Li", "Ca"],
  "fractional_positions": [[0.000, 0.000, 0.296], [0.000, 0.000, 0.000], [0.000, 0.000, 0.704], [0.500, 0.500, 0.147], [0.500, 0.500, 0.853], [0.500, 0.500, 0.500]],
  "relative_energy_mev_per_atom": 4.2,
  "dft_energy_ev_per_atom": -3.228,
  "formation_enthalpy_0k_mev_per_atom": -618
}